CsRbLaZnS: relaxed, PBE-GGA.

polymorph energy (0 for the lowest one)	33	meV per atom
magnetization	0.000	μB/f.u.
uncorrected formation energy	-0.60	eV per atom

Cell lengths 4.1189, 4.2665, 12.7936 Å; angles 90.00, 97.88, 90.00 degrees
Last column: nearest neighbours and their distance in Å.
Positions (direct):
La: 0.1700 0.5000 0.4874  2 S 2.80
Zn: 0.7217 0.0000 0.6099  4 La 3.35
Rb: 0.3030 0.5000 0.8061  4 Zn 3.87-3.88, 1 La 4.04, 4 Rb 4.12-4.27
Cs: 0.0440 0.0000 0.1907  4 S 3.50
S: 0.6067 0.5000 0.3381  2 La 2.80